! GGA-PBE Sc2ReIrCl, optimized geometry; values from VASP
! Energy above the lowest structure with this stoichiometry = 0.3974 eV per atom
! Mass density = 7.4 Mg/m³
! E = -6.43 eV per atom
! Size of the total moment = 0.000 μB/atom
! Formation energy (no corrections) = 3.65 eV per formula unit
! Space-group type = P4/mmm, No. 123
&SYSTEM
  ibrav = 0, nat = 5, ntyp = 4
/
ATOMIC_SPECIES
Sc 44.96 Sc.upf
Re 186.21 Re.upf
Ir 192.22 Ir.upf
Cl 35.45 Cl.upf
CELL_PARAMETERS angstrom
-3.835 1.591 -2.979
-2.708 -2.605 2.095
-1.029 3.743 3.323
ATOMIC_POSITIONS angstrom
Sc -1.917 0.795 -1.490
Sc -0.515 1.872 1.662
Re 0.000 0.000 0.000
Ir -3.786 1.364 1.220
Cl -1.354 -1.302 1.048